Entry from the Alexandria database: a geometry-optimized HfFeSb2Te structure (PBE-GGA).

abc: 5.5128 5.5128 5.4680
angles: 90.00 90.00 90.00
Last column: nearest neighbours and their distance in Å.
Fractional positions:
1 Sb 0.0000 0.5000 0.0000  2 Hf 2.76
2 Sb 0.5000 0.0000 0.0000  2 Hf 2.76
3 Te 0.0000 0.0000 0.5000  2 Hf 2.73
4 Hf 0.0000 0.0000 0.0000  2 Te 2.73, 4 Sb 2.76
5 Fe 0.5000 0.5000 0.5000  8 Sb 3.88, 4 Te 3.90

Computed properties:
Its density is 6.050 g/cm3. The value obtained for the energy relative to the lowest polymorph listed for this composition is 1.11 eV per formula unit. The calculation puts the raw formation energy at 0.77 eV per atom. As for the space-group type: P4/mmm (123).

---

Entry from the Alexandria database: a geometry-optimized HfFeSbTe2 structure (PBE-GGA).

abc: 5.5015 5.5015 5.5806
angles: 90.00 90.00 90.00
Last column: nearest neighbours and their distance in Å.
Fractional positions:
1 Sb 0.0000 0.0000 0.5000  2 Hf 2.79
2 Te 0.0000 0.5000 0.0000  2 Hf 2.75
3 Te 0.5000 0.0000 0.0000  2 Hf 2.75
4 Hf 0.0000 0.0000 0.0000  4 Te 2.75, 2 Sb 2.79
5 Fe 0.5000 0.5000 0.5000  4 Sb 3.89, 8 Te 3.92

Computed properties:
Its density is 6.010 g/cm3. The value obtained for the energy relative to the lowest polymorph listed for this composition is 0.54 eV per formula unit. The calculation puts the raw formation energy at 0.64 eV per atom. As for the space-group type: P4/mmm (123).

---

Entry from the Alexandria database: a geometry-optimized HfFeSb2Te structure (PBE-GGA).

abc: 4.8086 4.8086 5.3626
angles: 90.00 90.00 90.00
Last column: nearest neighbours and their distance in Å.
Fractional positions:
1 Sb 0.0000 0.5000 0.0000  2 Fe 2.40
2 Sb 0.5000 0.0000 0.0000  2 Fe 2.40
3 Te 0.0000 0.0000 0.5000  2 Fe 2.68
4 Hf 0.5000 0.5000 0.5000  4 Te 3.40, 8 Sb 3.60
5 Fe 0.0000 0.0000 0.0000  4 Sb 2.40, 2 Te 2.68

Computed properties:
Its density is 8.108 g/cm3. The value obtained for the energy relative to the lowest polymorph listed for this composition is 0.00 eV per formula unit. The calculation puts the raw formation energy at 0.55 eV per atom. As for the space-group type: P4/mmm (123).

---

Entry from the Alexandria database: a geometry-optimized HfFe2SbW structure (PBE-GGA).

abc: 4.5185 5.1880 4.5185
angles: 90.00 90.00 90.00
Last column: nearest neighbours and their distance in Å.
Fractional positions:
1 Sb 0.5000 0.5000 0.5000  4 Hf 3.20, 8 Fe 3.44
2 Hf 0.0000 0.5000 0.0000  2 W 2.59
3 Fe 0.0000 0.0000 0.5000  2 W 2.26
4 Fe 0.5000 0.0000 0.0000  2 W 2.26
5 W 0.0000 0.0000 0.0000  4 Fe 2.26

Computed properties:
Its density is 9.340 g/cm3. The calculation puts the raw formation energy at 1.14 eV per atom. As for the space-group type: P4/mmm (123).

---

Please write out number 4 again, unchanged.
Entry from the Alexandria database: a geometry-optimized HfFe2SbW structure (PBE-GGA).

abc: 4.5185 5.1880 4.5185
angles: 90.00 90.00 90.00
Last column: nearest neighbours and their distance in Å.
Fractional positions:
1 Sb 0.5000 0.5000 0.5000  4 Hf 3.20, 8 Fe 3.44
2 Hf 0.0000 0.5000 0.0000  2 W 2.59
3 Fe 0.0000 0.0000 0.5000  2 W 2.26
4 Fe 0.5000 0.0000 0.0000  2 W 2.26
5 W 0.0000 0.0000 0.0000  4 Fe 2.26

Computed properties:
Its density is 9.340 g/cm3. The calculation puts the raw formation energy at 1.14 eV per atom. As for the space-group type: P4/mmm (123).